(1)
TaTiRh2: relaxed, PBE.

For the total moment, the calculation gives 0.00 μB/cell. The calculation puts the total energy at -37.0 eV per cell. The value obtained for the density is 11.70 g/cm3.

The space group is P4/mmm (No. 123) and the conventional cell measures 2.926, 2.926 and 7.207 Å, with angles of 90.00, 90.00 and 90.00 degrees. The distinct sites, in fractional coordinates, are Ta at (0.000, 0.000, 0.000), Ti at (0.000, 0.000, 0.500) and Rh at (0.500, 0.500, 0.275).

(2)
Ta3TiRh: relaxed, PBE.

Its polymorph energy (0 for the lowest one) is 1.466 eV/atom. For the total moment, the calculation gives 0.00 μB/cell. The calculation puts the total energy at -43.6 eV per cell. The value obtained for the density is 11.72 g/cm3.

The space group is Pm-3m (No. 221) and the conventional cell measures 4.614, 4.614 and 4.614 Å, with angles of 90.00, 90.00 and 90.00 degrees. The distinct sites, in fractional coordinates, are Ta at (0.000, 0.000, 0.500), Ti at (0.000, 0.000, 0.000) and Rh at (0.500, 0.500, 0.500).

(3)
TaTiRh2: relaxed, PBE.

For the total moment, the calculation gives 0.00 μB/cell. The calculation puts the total energy at -36.7 eV per cell. The value obtained for the density is 11.64 g/cm3.

The space group is P4/mmm (No. 123) and the conventional cell measures 4.083, 4.083 and 3.718 Å, with angles of 90.00, 90.00 and 90.00 degrees. The distinct sites, in fractional coordinates, are Ta at (0.000, 0.000, 0.000), Ti at (0.500, 0.500, 0.000) and Rh at (0.000, 0.500, 0.500).

(4)
Ta2Ti2Rh: relaxed, PBE.

For the total moment, the calculation gives 0.00 μB/cell. The calculation puts the total energy at -97.1 eV per cell. The value obtained for the density is 11.22 g/cm3.

The space group is I4/mmm (No. 139) and the conventional cell measures 3.187, 3.187 and 16.336 Å, with angles of 90.00, 90.00 and 90.00 degrees. The distinct sites, in fractional coordinates, are Ta at (0.000, 0.000, 0.199), Ti at (0.000, 0.000, 0.405) and Rh at (0.000, 0.000, 0.000).